(1)
Computed, not measured: crystalline MoAuSe2N at its relaxed geometry at the GGA-PBEsol level of DFT.

Results
E ... -25.1 eV for the cell shown
Magnetic moment ... 3.4 μB per formula unit
Calculated volume ... 19.56 Å³ per atom

Cell lengths 5.153, 5.153, 3.684 Å; angles 90.00, 90.00, 90.00 degrees
Space group P4/mmm (No. 123)
Unique sites:
1 Mo 0.000 0.000 0.000 x1
2 Au 0.500 0.500 0.500 x1
3 Se 0.000 0.500 0.500 x2
4 N 0.500 0.500 0.000 x1

(2)
Computed, not measured: crystalline LiCa3Cd at its relaxed geometry at the GGA-PBEsol level of DFT.

Results
Magnetic moment ... 0.0 μB per formula unit
Calculated volume ... 41.10 Å³ per atom
ΔE_f ... 107 meV/atom

Cell lengths 5.901, 5.901, 5.901 Å; angles 90.00, 90.00, 90.00 degrees
Space group Pm-3m (No. 221)
Unique sites:
1 Li 0.000 0.000 0.000 x1
2 Ca 0.000 0.500 0.500 x3
3 Cd 0.500 0.500 0.500 x1

(3)
Computed, not measured: crystalline NbInGe2 at its relaxed geometry at the GGA-PBEsol level of DFT.

Results
Magnetic moment ... 0.0 μB per formula unit
Calculated volume ... 18.48 Å³ per atom
ΔE_f ... 358 meV/atom

Cell lengths 6.661, 6.661, 6.661 Å; angles 90.00, 90.00, 90.00 degrees
Space group Fm-3m (No. 225)
Unique sites:
1 Nb 0.000 0.000 0.000 x4
2 In 0.000 0.000 0.500 x4
3 Ge 0.250 0.250 0.250 x8

(4)
Computed, not measured: crystalline Al2IrRu at its relaxed geometry at the GGA-PBEsol level of DFT.

Results
Magnetic moment ... 0.0 μB per formula unit
Calculated volume ... 13.82 Å³ per atom
ΔE_f ... -482 meV/atom

Cell lengths 2.818, 4.316, 4.899 Å; angles 100.74, 90.04, 108.83 degrees
Space group P-1 (No. 2)
Unique sites:
1 Al 0.250 0.001 0.252 x2
2 Ir 0.500 0.500 0.000 x1
3 Ru 0.000 0.500 0.500 x1

(5)
Computed, not measured: crystalline MnCd2Hg at its relaxed geometry at the GGA-PBEsol level of DFT.

Results
Magnetic moment ... 3.7 μB per formula unit
Calculated volume ... 18.86 Å³ per atom
ΔE_f ... 235 meV/atom

Cell lengths 9.628, 3.060, 5.234 Å; angles 90.00, 101.98, 90.00 degrees
Space group Cm (No. 8)
Unique sites:
1 Mn 0.000 0.000 0.000 x2
2 Cd 0.256 0.000 0.754 x2
3 Cd 0.499 0.000 0.501 x2
4 Hg 0.242 0.500 0.229 x2

(6)
Computed, not measured: crystalline SrMgCoF2 at its relaxed geometry at the GGA-PBEsol level of DFT.

Results
E ... -22.2 eV for the cell shown
Magnetic moment ... 1.0 μB per formula unit
Calculated volume ... 17.11 Å³ per atom

Cell lengths 4.007, 4.007, 5.329 Å; angles 90.00, 90.00, 90.00 degrees
Space group P4/mmm (No. 123)
Unique sites:
1 Sr 0.000 0.000 0.000 x1
2 Mg 0.500 0.500 0.500 x1
3 Co 0.500 0.500 0.000 x1
4 F 0.000 0.500 0.500 x2

(7)
Computed, not measured: crystalline PWO5 at its relaxed geometry at the GGA-PBEsol level of DFT.

Results
Distance to the lowest polymorph of the same formula ... 0.0439 eV per atom
Magnetic moment ... 1.0 μB per formula unit
Calculated volume ... 12.76 Å³ per atom

Cell lengths 5.272, 5.273, 7.345 Å; angles 109.63, 109.56, 92.06 degrees
Space group P-1 (No. 2)
Unique sites:
1 P 0.134 0.366 0.250 x2
2 W 0.500 0.000 0.000 x1
3 W 0.500 0.000 0.500 x1
4 O 0.177 0.706 0.855 x2
5 O 0.206 0.677 0.356 x2
6 O 0.235 0.235 0.416 x2
7 O 0.265 0.265 0.085 x2
8 O 0.441 0.060 0.750 x2

(8)
Computed, not measured: crystalline CeInPd2 at its relaxed geometry at the GGA-PBEsol level of DFT.

Results
Magnetic moment ... 0.5 μB per formula unit
Calculated volume ... 20.19 Å³ per atom
ΔE_f ... -688 meV/atom

Cell lengths 4.5915, 4.5915, 8.8470 Å; angles 90.00, 90.00, 120.00 degrees
Space group P6_3/mmc (No. 194)
Unique sites:
1 Ce 0.3333 0.6667 0.2500 x2
2 In 0.0000 0.0000 0.0000 x2
3 Pd 0.3333 0.6667 0.5848 x4

(9)
Computed, not measured: crystalline LaBe2Ni2 at its relaxed geometry at the GGA-PBEsol level of DFT.

Results
Magnetic moment ... 0.0 μB per formula unit
Calculated volume ... 14.01 Å³ per atom
ΔE_f ... -191 meV/atom

Cell lengths 3.752, 3.752, 9.952 Å; angles 90.00, 90.00, 90.00 degrees
Space group I4/mmm (No. 139)
Unique sites:
1 La 0.000 0.000 0.000 x2
2 Be 0.000 0.500 0.250 x4
3 Ni 0.000 0.000 0.370 x4

(10)
Computed, not measured: crystalline SrZrN3 at its relaxed geometry at the GGA-PBEsol level of DFT.

Results
E ... -38.7 eV for the cell shown
Magnetic moment ... 2.5 μB per formula unit
Calculated volume ... 15.33 Å³ per atom

Cell lengths 4.248, 4.248, 4.248 Å; angles 90.00, 90.00, 90.00 degrees
Space group Pm-3m (No. 221)
Unique sites:
1 Sr 0.000 0.000 0.000 x1
2 Zr 0.500 0.500 0.500 x1
3 N 0.000 0.500 0.500 x3

(11)
Computed, not measured: crystalline TaFeP2 at its relaxed geometry at the GGA-PBEsol level of DFT.

Results
Distance to the lowest polymorph of the same formula ... 0.1278 eV per atom
Magnetic moment ... 0.0 μB per formula unit
Calculated volume ... 12.66 Å³ per atom
ΔE_f ... -402 meV/atom

Cell lengths 4.124, 4.124, 2.977 Å; angles 90.00, 90.00, 90.00 degrees
Space group P4/mmm (No. 123)
Unique sites:
1 Ta 0.000 0.000 0.000 x1
2 Fe 0.500 0.500 0.000 x1
3 P 0.000 0.500 0.500 x2

(12)
Computed, not measured: crystalline InPH5NO5 at its relaxed geometry at the GGA-PBEsol level of DFT.

Results
E ... -622.4 eV for the cell shown
Magnetic moment ... 0.0 μB per formula unit
Calculated volume ... 9.51 Å³ per atom

Cell lengths 9.402, 9.402, 11.185 Å; angles 90.00, 90.00, 90.00 degrees
Space group P4_32_12 (No. 96)
Unique sites:
1 In 0.089 0.089 0.000 x4
2 In 0.160 0.840 0.250 x4
3 P 0.164 0.304 0.760 x8
4 H 0.008 0.545 0.781 x8
5 H 0.027 0.693 0.695 x8
6 H 0.064 0.122 0.608 x8
7 H 0.073 0.299 0.322 x8
8 H 0.112 0.681 0.829 x8
9 N 0.018 0.655 0.783 x8
10 O 0.001 0.329 0.755 x8
11 O 0.021 0.937 0.124 x8
12 O 0.052 0.734 0.537 x8
13 O 0.201 0.205 0.137 x8
14 O 0.218 0.235 0.641 x8